No. 1
CaNd2ScS4, optimized geometry, DFT PBE; mass density = 4.737 Mg/m³; calculated volume = 22.0 Å³ per atom; energy relative to the elements, uncorrected = -1.971 eV/atom
1.0
6.836 0.000 0.000
0.000 3.930 0.000
-2.244 0.000 6.546
Ca Nd Sc S
1 2 1 4
Direct
0.000 0.000 0.000 Ca
0.000 0.500 0.500 Nd
0.500 0.000 0.500 Nd
0.500 0.500 0.000 Sc
0.254 0.500 0.233 S
0.266 0.000 0.774 S
0.734 0.000 0.226 S
0.746 0.500 0.767 S

No. 2
CaNd3Sm2S6, optimized geometry, DFT PBE; mass density = 5.732 Mg/m³; calculated volume = 23.3 Å³ per atom; energy relative to the elements, uncorrected = -2.036 eV/atom
1.0
3.493 -6.055 0.000
3.493 6.055 0.000
-2.316 0.000 6.615
Ca Nd Sm S
1 3 2 6
Direct
0.000 0.000 0.000 Ca
0.167 0.833 0.500 Nd
0.500 0.500 0.500 Nd
0.833 0.167 0.500 Nd
0.333 0.667 0.000 Sm
0.667 0.333 0.000 Sm
0.081 0.411 0.243 S
0.249 0.249 0.758 S
0.411 0.081 0.243 S
0.589 0.919 0.757 S
0.751 0.751 0.242 S
0.919 0.589 0.757 S